(1)
First-principles (PBE) data for an optimized crystal structure of SrAl4Te, as listed in Alexandria via LeMat-Bulk.

a = 5.793 Å, b = 5.793 Å, c = 5.793 Å
α = 60.00°, β = 60.00°, γ = 60.00°
Fractional coordinates of all 6 atoms:
Sr  0.750  0.750  0.750
Al  0.375  0.375  0.874
Al  0.375  0.375  0.375
Al  0.874  0.375  0.375
Al  0.375  0.874  0.375
Te  0.000  0.000  0.000

Calculated values
Volume ... 22.9 Å³ per atom
Uncorrected formation energy ... -5.29 kJ per mole of atoms

***

(2)
First-principles (PBE) data for an optimized crystal structure of ZnCuAgPb2, as listed in Alexandria via LeMat-Bulk.

a = 5.333 Å, b = 4.890 Å, c = 5.333 Å
α = 90.00°, β = 90.00°, γ = 90.00°
Fractional coordinates of all 5 atoms:
Zn  0.000  0.000  0.000
Ag  0.000  0.500  0.000
Pb  0.000  0.000  0.500
Pb  0.500  0.000  0.000
Cu  0.500  0.500  0.500

Calculated values
Volume ... 27.8 Å³ per atom
Energy of formation from the pure elements ... 0.652 eV/atom

***

(3)
First-principles (PBE) data for an optimized crystal structure of USeSBr, as listed in Alexandria via LeMat-Bulk.

a = 4.375 Å, b = 4.375 Å, c = 8.138 Å
α = 107.70°, β = 87.99°, γ = 119.97°
Fractional coordinates of all 4 atoms:
Br  0.507  0.909  0.416
Se  0.017  0.855  0.872
U  0.405  0.656  0.061
S  0.763  0.385  0.148

Calculated values
Volume ... 31.8 Å³ per atom
Uncorrected formation energy ... -101.79 kJ per mole of atoms